First-principles (GGA-PBE) data for a relaxed structure of InOsPb2, as listed in the Alexandria database. Values from VASP.

Cell and atoms, written as Quantum ESPRESSO input:
```
&SYSTEM
  ibrav = 0, nat = 4, ntyp = 3
/
ATOMIC_SPECIES
In 114.82 In.upf
Os 190.23 Os.upf
Pb 207.20 Pb.upf
CELL_PARAMETERS angstrom
-0.1926 2.5468 -2.1334
-3.1303 -0.8549 -0.7381
-2.9283 5.1674 6.4332
ATOMIC_POSITIONS angstrom
In -1.6395 2.8931 3.6018
Os -3.8009 4.6213 3.2644
Pb -2.7370 4.8298 6.0129
Pb -2.4663 2.2662 0.3324
```

Properties
N(E_F)   0.538 states/eV/atom
SG   No. 99
Spin magnetization   0.00 μB per atom
Uncorrected energy   -4.91 eV per atom
Calculated volume   24.2 Å³/atom